[1]
This record from Alexandria via LeMat-Bulk describes a relaxed structure of LaHoCBr. The functional is PBE.

The structure in POSCAR format:
```
LaHoCBr
1.0
1.870 1.080 7.477
-1.870 1.080 7.477
0.000 -2.159 7.477
La Ho C Br
1 1 1 1
Direct
0.000 0.000 0.000
0.213 0.213 0.213
0.599 0.599 0.599
0.782 0.782 0.782
```

## Properties
Formation energy from raw total energies in eV/atom: -0.926
VASP energy in eV/atom: -6.026
V in A^3/atom: 22.63

[2]
This record from Alexandria via LeMat-Bulk describes a relaxed structure of SrCoPH. The functional is PBE.

The structure in POSCAR format:
```
SrCoPH
1.0
3.874 0.000 0.000
0.000 3.874 0.000
0.000 0.000 8.530
Sr Co P H
2 2 2 2
Direct
0.250 0.250 0.170
0.750 0.750 0.830
0.250 0.750 0.500
0.750 0.250 0.500
0.250 0.250 0.630
0.750 0.750 0.370
0.250 0.750 0.000
0.750 0.250 0.000
```

## Properties
VASP energy in eV/atom: -5.138
V in A^3/atom: 16.00

[3]
This record from Alexandria via LeMat-Bulk describes a relaxed structure of La2TlTe. The functional is PBE.

The structure in POSCAR format:
```
La2TlTe
1.0
0.000 3.947 3.947
3.947 0.000 3.947
3.947 3.947 0.000
La Tl Te
2 1 1
Direct
0.000 0.000 0.000
0.250 0.250 0.250
0.500 0.500 0.500
0.750 0.750 0.750
```

## Properties
Formation energy from raw total energies in eV/atom: -0.308
VASP energy in eV/atom: -4.149
E above lowest polymorph in eV/atom: 0.697
V in A^3/atom: 30.75

[4]
This record from Alexandria via LeMat-Bulk describes a relaxed structure of Y2ZrTa. The functional is PBE.

The structure in POSCAR format:
```
Y2ZrTa
1.0
-4.125 4.125 3.081
4.125 -4.125 3.081
4.125 4.125 -3.081
Y Zr Ta
4 2 2
Direct
0.109 0.625 0.984
0.375 0.359 0.484
0.641 0.125 0.016
0.875 0.891 0.516
0.250 0.750 0.500
0.500 0.500 0.000
0.000 0.000 0.000
0.750 0.250 0.500
```

## Properties
VASP energy in eV/atom: -7.482
Energy of formation in meV/atom: 850
E above lowest polymorph in eV/atom: 0.686
V in A^3/atom: 26.20

[5]
This record from Alexandria via LeMat-Bulk describes a relaxed structure of Rb2SeBr4. The functional is PBE.

The structure in POSCAR format:
```
Rb2SeBr4
1.0
-2.886 2.886 8.239
2.886 -2.886 8.239
2.886 2.886 -8.239
Rb Se Br
2 1 4
Direct
0.130 0.130 0.000
0.870 0.870 0.000
0.500 0.500 0.000
0.000 0.500 0.500
0.341 0.341 0.000
0.500 0.000 0.500
0.659 0.659 0.000
```

## Properties
Formation energy from raw total energies in eV/atom: -0.985
VASP energy in eV/atom: -2.715
E above lowest polymorph in eV/atom: 0.088
V in A^3/atom: 39.22

[6]
This record from Alexandria via LeMat-Bulk describes a relaxed structure of Al2SiTcSb. The functional is PBE.

The structure in POSCAR format:
```
Al2SiTcSb
1.0
5.169 0.000 0.000
0.000 5.169 0.000
0.000 0.000 5.040
Al Si Tc Sb
2 1 1 1
Direct
0.000 0.500 0.000
0.500 0.000 0.000
0.000 0.000 0.500
0.500 0.500 0.500
0.500 0.500 0.000
```

## Properties
Formation energy from raw total energies in eV/atom: 1.513
VASP energy in eV/atom: -3.966
V in A^3/atom: 26.93